The following is a PBE calculation of a geometry-optimized BeCrCu2As structure, from Alexandria via LeMat-Bulk.

Structure (extended XYZ):
```
5
Lattice="4.4449 0.0000 0.0000 0.0000 4.4449 0.0000 0.0000 0.0000 4.1599" Properties=species:S:1:pos:R:3 pbc="T T T"
Be 0.0000 0.0000 0.0000
Cr 0.0000 0.0000 2.0800
Cu 0.0000 2.2224 2.0800
Cu 2.2224 0.0000 2.0800
As 2.2224 2.2224 0.0000
```

Space-group type: P4/mmm (123)
Energy relative to the elements (eV per atom): 1.35
Total moment (μB per atom): 0.0001
Fermi-level density of states (states/eV per cell): 3.76